# RuPbSe2, single point on PBEsol structure, DFT meta-GGA SCAN
# magnetic moment = 1.4 μB/cell
# space-group type = F-43m, No. 216
# VASP energy = -36.899 eV per atom
# density of states at the Fermi level = 2.64 states/eV/f.u.
data_RuPbSe2
_cell_length_a 4.7633
_cell_length_b 4.7633
_cell_length_c 4.7633
_cell_angle_alpha 60.00
_cell_angle_beta 60.00
_cell_angle_gamma 60.00
_symmetry_space_group_name_H-M 'P 1'
_symmetry_Int_Tables_number 1
loop_
_symmetry_equiv_pos_as_xyz
'x,y,z'
loop_
_atom_site_label
_atom_site_type_symbol
_atom_site_fract_x
_atom_site_fract_y
_atom_site_fract_z
_atom_site_occupancy
Ru1 Ru 0.2500 0.2500 0.2500 1
Pb1 Pb 0.5000 0.5000 0.5000 1
Se1 Se 0.7500 0.7500 0.7500 1
Se2 Se 0.0000 0.0000 0.0000 1

---

# RuPbSe2, single point on PBEsol structure, DFT meta-GGA SCAN
# magnetic moment = 0.0 μB/cell
# space-group type = R-3m, No. 166
# VASP energy = -37.169 eV per atom
# density of states at the Fermi level = 3.53 states/eV/f.u.
data_RuPbSe2
_cell_length_a 3.0645
_cell_length_b 3.0645
_cell_length_c 10.3325
_cell_angle_alpha 81.47
_cell_angle_beta 81.47
_cell_angle_gamma 60.00
_symmetry_space_group_name_H-M 'P 1'
_symmetry_Int_Tables_number 1
loop_
_symmetry_equiv_pos_as_xyz
'x,y,z'
loop_
_atom_site_label
_atom_site_type_symbol
_atom_site_fract_x
_atom_site_fract_y
_atom_site_fract_z
_atom_site_occupancy
Se1 Se 0.9238 0.9238 0.2286 1
Ru1 Ru 0.0000 0.0000 0.0000 1
Pb1 Pb 0.5000 0.5000 0.5000 1
Se2 Se 0.0762 0.0762 0.7714 1

---

# RuPbSe2, single point on PBEsol structure, DFT meta-GGA SCAN
# magnetic moment = 0.0 μB/cell
# space-group type = P4/mmm, No. 123
# VASP energy = -37.173 eV per atom
# density of states at the Fermi level = 3.10 states/eV/f.u.
data_RuPbSe2
_cell_length_a 3.2597
_cell_length_b 4.8715
_cell_length_c 4.8715
_cell_angle_alpha 90.00
_cell_angle_beta 90.00
_cell_angle_gamma 90.00
_symmetry_space_group_name_H-M 'P 1'
_symmetry_Int_Tables_number 1
loop_
_symmetry_equiv_pos_as_xyz
'x,y,z'
loop_
_atom_site_label
_atom_site_type_symbol
_atom_site_fract_x
_atom_site_fract_y
_atom_site_fract_z
_atom_site_occupancy
Se1 Se 0.0000 0.5000 0.0000 1
Ru1 Ru 0.5000 0.0000 0.0000 1
Se2 Se 0.0000 0.0000 0.5000 1
Pb1 Pb 0.5000 0.5000 0.5000 1

---

# RuPbSe2, single point on PBEsol structure, DFT meta-GGA SCAN
# magnetic moment = 0.0 μB/cell
# space-group type = R-3m, No. 166
# VASP energy = -37.867 eV per atom
# density of states at the Fermi level = 4.77 states/eV/f.u.
data_RuPbSe2
_cell_length_a 3.5795
_cell_length_b 3.5795
_cell_length_c 8.8802
_cell_angle_alpha 78.37
_cell_angle_beta 78.37
_cell_angle_gamma 60.00
_symmetry_space_group_name_H-M 'P 1'
_symmetry_Int_Tables_number 1
loop_
_symmetry_equiv_pos_as_xyz
'x,y,z'
loop_
_atom_site_label
_atom_site_type_symbol
_atom_site_fract_x
_atom_site_fract_y
_atom_site_fract_z
_atom_site_occupancy
Pb1 Pb 0.0000 0.0000 0.0000 1
Se1 Se 0.8847 0.8847 0.3460 1
Se2 Se 0.1153 0.1153 0.6540 1
Ru1 Ru 0.5000 0.5000 0.5000 1

---

# RuPbSe4, single point on PBEsol structure, DFT meta-GGA SCAN
# magnetic moment = 2.5 μB/cell
# space-group type = F-43m, No. 216
# VASP energy = -30.881 eV per atom
# density of states at the Fermi level = 4.51 states/eV/f.u.
data_RuPbSe4
_cell_length_a 5.6334
_cell_length_b 5.6334
_cell_length_c 5.6334
_cell_angle_alpha 60.00
_cell_angle_beta 60.00
_cell_angle_gamma 60.00
_symmetry_space_group_name_H-M 'P 1'
_symmetry_Int_Tables_number 1
loop_
_symmetry_equiv_pos_as_xyz
'x,y,z'
loop_
_atom_site_label
_atom_site_type_symbol
_atom_site_fract_x
_atom_site_fract_y
_atom_site_fract_z
_atom_site_occupancy
Se1 Se 0.3736 0.3736 0.8792 1
Se2 Se 0.8792 0.3736 0.3736 1
Se3 Se 0.3736 0.3736 0.3736 1
Pb1 Pb 0.7500 0.7500 0.7500 1
Se4 Se 0.3736 0.8792 0.3736 1
Ru1 Ru 0.0000 0.0000 0.0000 1

---

# SiRu2Pb, single point on PBEsol structure, DFT meta-GGA SCAN
# magnetic moment = 1.6 μB/cell
# energy relative to the lowest polymorph listed for this composition = 494.1 meV/atom
# space-group type = F-43m, No. 216
# density of states at the Fermi level = 2.61 states/eV/f.u.
data_SiRu2Pb
_cell_length_a 4.4925
_cell_length_b 4.4925
_cell_length_c 4.4925
_cell_angle_alpha 60.00
_cell_angle_beta 60.00
_cell_angle_gamma 60.00
_symmetry_space_group_name_H-M 'P 1'
_symmetry_Int_Tables_number 1
loop_
_symmetry_equiv_pos_as_xyz
'x,y,z'
loop_
_atom_site_label
_atom_site_type_symbol
_atom_site_fract_x
_atom_site_fract_y
_atom_site_fract_z
_atom_site_occupancy
Ru1 Ru 0.7500 0.7500 0.7500 1
Pb1 Pb 0.5000 0.5000 0.5000 1
Ru2 Ru 0.0000 0.0000 0.0000 1
Si1 Si 0.2500 0.2500 0.2500 1

---

# SiRu2Pb, single point on PBEsol structure, DFT meta-GGA SCAN
# magnetic moment = 0.0 μB/cell
# energy relative to the lowest polymorph listed for this composition = 0.0 meV/atom
# space-group type = Fm-3m, No. 225
# density of states at the Fermi level = 0.85 states/eV/f.u.
data_SiRu2Pb
_cell_length_a 4.4093
_cell_length_b 4.4093
_cell_length_c 4.4093
_cell_angle_alpha 60.00
_cell_angle_beta 60.00
_cell_angle_gamma 60.00
_symmetry_space_group_name_H-M 'P 1'
_symmetry_Int_Tables_number 1
loop_
_symmetry_equiv_pos_as_xyz
'x,y,z'
loop_
_atom_site_label
_atom_site_type_symbol
_atom_site_fract_x
_atom_site_fract_y
_atom_site_fract_z
_atom_site_occupancy
Pb1 Pb 0.5000 0.5000 0.5000 1
Ru1 Ru 0.2500 0.2500 0.2500 1
Ru2 Ru 0.7500 0.7500 0.7500 1
Si1 Si 0.0000 0.0000 0.0000 1

---

# SrRu2Pb, single point on PBEsol structure, DFT meta-GGA SCAN
# magnetic moment = 2.5 μB/cell
# space-group type = I-4m2, No. 119
# density of states at the Fermi level = 2.78 states/eV/f.u.
# formation enthalpy at 0 K = 0.664 eV/atom
data_SrRu2Pb
_cell_length_a 4.2011
_cell_length_b 4.2011
_cell_length_c 5.3380
_cell_angle_alpha 113.17
_cell_angle_beta 113.17
_cell_angle_gamma 90.00
_symmetry_space_group_name_H-M 'P 1'
_symmetry_Int_Tables_number 1
loop_
_symmetry_equiv_pos_as_xyz
'x,y,z'
loop_
_atom_site_label
_atom_site_type_symbol
_atom_site_fract_x
_atom_site_fract_y
_atom_site_fract_z
_atom_site_occupancy
Pb1 Pb 0.2500 0.7500 0.5000 1
Ru1 Ru 0.7500 0.2500 0.5000 1
Ru2 Ru 0.0000 0.0000 0.0000 1
Sr1 Sr 0.5000 0.5000 0.0000 1

---

# SrRu2Pb, single point on PBEsol structure, DFT meta-GGA SCAN
# magnetic moment = 0.0 μB/cell
# space-group type = P4mm, No. 99
# density of states at the Fermi level = 2.07 states/eV/f.u.
# formation enthalpy at 0 K = 0.309 eV/atom
data_SrRu2Pb
_cell_length_a 3.1077
_cell_length_b 3.1077
_cell_length_c 8.3731
_cell_angle_alpha 90.00
_cell_angle_beta 90.00
_cell_angle_gamma 90.00
_symmetry_space_group_name_H-M 'P 1'
_symmetry_Int_Tables_number 1
loop_
_symmetry_equiv_pos_as_xyz
'x,y,z'
loop_
_atom_site_label
_atom_site_type_symbol
_atom_site_fract_x
_atom_site_fract_y
_atom_site_fract_z
_atom_site_occupancy
Ru1 Ru 0.0000 0.0000 0.0337 1
Sr1 Sr 0.0000 0.0000 0.4644 1
Pb1 Pb 0.5000 0.5000 0.8034 1
Ru2 Ru 0.5000 0.5000 0.1984 1

---

# Sr2RuPb, single point on PBEsol structure, DFT meta-GGA SCAN
# magnetic moment = 0.6 μB/cell
# space-group type = P4/mmm, No. 123
# density of states at the Fermi level = 2.96 states/eV/f.u.
# formation enthalpy at 0 K = 0.112 eV/atom
data_Sr2RuPb
_cell_length_a 3.4304
_cell_length_b 3.4304
_cell_length_c 9.1742
_cell_angle_alpha 90.00
_cell_angle_beta 90.00
_cell_angle_gamma 90.00
_symmetry_space_group_name_H-M 'P 1'
_symmetry_Int_Tables_number 1
loop_
_symmetry_equiv_pos_as_xyz
'x,y,z'
loop_
_atom_site_label
_atom_site_type_symbol
_atom_site_fract_x
_atom_site_fract_y
_atom_site_fract_z
_atom_site_occupancy
Sr1 Sr 0.0000 0.0000 0.7065 1
Ru1 Ru 0.5000 0.5000 0.5000 1
Pb1 Pb 0.5000 0.5000 0.0000 1
Sr2 Sr 0.0000 0.0000 0.2935 1

---

# SrZnRuPb2, single point on PBEsol structure, DFT meta-GGA SCAN
# magnetic moment = 0.0 μB/cell
# space-group type = P4/mmm, No. 123
# density of states at the Fermi level = 2.21 states/eV/f.u.
# formation enthalpy at 0 K = 0.110 eV/atom
data_SrZnRuPb2
_cell_length_a 5.1664
_cell_length_b 5.1664
_cell_length_c 5.6841
_cell_angle_alpha 90.00
_cell_angle_beta 90.00
_cell_angle_gamma 90.00
_symmetry_space_group_name_H-M 'P 1'
_symmetry_Int_Tables_number 1
loop_
_symmetry_equiv_pos_as_xyz
'x,y,z'
loop_
_atom_site_label
_atom_site_type_symbol
_atom_site_fract_x
_atom_site_fract_y
_atom_site_fract_z
_atom_site_occupancy
Zn1 Zn 0.5000 0.5000 0.5000 1
Sr1 Sr 0.0000 0.0000 0.5000 1
Pb1 Pb 0.5000 0.0000 0.0000 1
Pb2 Pb 0.0000 0.5000 0.0000 1
Ru1 Ru 0.0000 0.0000 0.0000 1

---

# Ta2RuPb, single point on PBEsol structure, DFT meta-GGA SCAN
# magnetic moment = 0.0 μB/cell
# space-group type = Cmmm, No. 65
# density of states at the Fermi level = 2.72 states/eV/f.u.
# formation enthalpy at 0 K = 0.287 eV/atom
data_Ta2RuPb
_cell_length_a 3.0109
_cell_length_b 5.0026
_cell_length_c 5.0026
_cell_angle_alpha 110.91
_cell_angle_beta 89.99
_cell_angle_gamma 89.99
_symmetry_space_group_name_H-M 'P 1'
_symmetry_Int_Tables_number 1
loop_
_symmetry_equiv_pos_as_xyz
'x,y,z'
loop_
_atom_site_label
_atom_site_type_symbol
_atom_site_fract_x
_atom_site_fract_y
_atom_site_fract_z
_atom_site_occupancy
Ta1 Ta 0.0000 0.5000 0.0000 1
Ru1 Ru 0.5000 0.5000 0.5000 1
Ta2 Ta 0.0000 0.0000 0.5000 1
Pb1 Pb 0.5000 0.0000 0.0000 1

---

# Ta2RuPb, single point on PBEsol structure, DFT meta-GGA SCAN
# magnetic moment = 0.0 μB/cell
# space-group type = P2/m, No. 10
# density of states at the Fermi level = 2.65 states/eV/f.u.
# formation enthalpy at 0 K = 0.174 eV/atom
data_Ta2RuPb
_cell_length_a 2.9791
_cell_length_b 4.1101
_cell_length_c 5.7756
_cell_angle_alpha 90.00
_cell_angle_beta 93.03
_cell_angle_gamma 90.00
_symmetry_space_group_name_H-M 'P 1'
_symmetry_Int_Tables_number 1
loop_
_symmetry_equiv_pos_as_xyz
'x,y,z'
loop_
_atom_site_label
_atom_site_type_symbol
_atom_site_fract_x
_atom_site_fract_y
_atom_site_fract_z
_atom_site_occupancy
Ta1 Ta 0.9689 0.0000 0.7247 1
Ru1 Ru 0.5000 0.5000 0.5000 1
Pb1 Pb 0.5000 0.5000 0.0000 1
Ta2 Ta 0.0311 0.0000 0.2753 1

---

# TaRuPb3, single point on PBEsol structure, DFT meta-GGA SCAN
# magnetic moment = 3.1 μB/cell
# space-group type = Pm-3m, No. 221
# density of states at the Fermi level = 7.62 states/eV/f.u.
# formation enthalpy at 0 K = 1.270 eV/atom
data_TaRuPb3
_cell_length_a 5.1250
_cell_length_b 5.1250
_cell_length_c 5.1250
_cell_angle_alpha 90.00
_cell_angle_beta 90.00
_cell_angle_gamma 90.00
_symmetry_space_group_name_H-M 'P 1'
_symmetry_Int_Tables_number 1
loop_
_symmetry_equiv_pos_as_xyz
'x,y,z'
loop_
_atom_site_label
_atom_site_type_symbol
_atom_site_fract_x
_atom_site_fract_y
_atom_site_fract_z
_atom_site_occupancy
Ru1 Ru 0.0000 0.0000 0.0000 1
Ta1 Ta 0.5000 0.5000 0.5000 1
Pb1 Pb 0.5000 0.0000 0.0000 1
Pb2 Pb 0.0000 0.5000 0.0000 1
Pb3 Pb 0.0000 0.0000 0.5000 1

---

# Ta2RuPb, single point on PBEsol structure, DFT meta-GGA SCAN
# magnetic moment = 0.0 μB/cell
# space-group type = P4/mmm, No. 123
# density of states at the Fermi level = 2.54 states/eV/f.u.
# formation enthalpy at 0 K = 0.113 eV/atom
data_Ta2RuPb
_cell_length_a 3.0011
_cell_length_b 3.0011
_cell_length_c 8.0538
_cell_angle_alpha 90.00
_cell_angle_beta 90.00
_cell_angle_gamma 90.00
_symmetry_space_group_name_H-M 'P 1'
_symmetry_Int_Tables_number 1
loop_
_symmetry_equiv_pos_as_xyz
'x,y,z'
loop_
_atom_site_label
_atom_site_type_symbol
_atom_site_fract_x
_atom_site_fract_y
_atom_site_fract_z
_atom_site_occupancy
Pb1 Pb 0.5000 0.5000 0.0000 1
Ru1 Ru 0.5000 0.5000 0.5000 1
Ta1 Ta 0.0000 0.0000 0.2906 1
Ta2 Ta 0.0000 0.0000 0.7094 1

---

# TcRuPb2, single point on PBEsol structure, DFT meta-GGA SCAN
# magnetic moment = 0.0 μB/cell
# energy relative to the lowest polymorph listed for this composition = 562.5 meV/atom
# space-group type = Cmmm, No. 65
# density of states at the Fermi level = 4.19 states/eV/f.u.
# formation enthalpy at 0 K = 0.873 eV/atom
data_TcRuPb2
_cell_length_a 3.1307
_cell_length_b 3.1307
_cell_length_c 8.6295
_cell_angle_alpha 90.00
_cell_angle_beta 90.00
_cell_angle_gamma 116.27
_symmetry_space_group_name_H-M 'P 1'
_symmetry_Int_Tables_number 1
loop_
_symmetry_equiv_pos_as_xyz
'x,y,z'
loop_
_atom_site_label
_atom_site_type_symbol
_atom_site_fract_x
_atom_site_fract_y
_atom_site_fract_z
_atom_site_occupancy
Pb1 Pb 0.0000 0.0000 0.2530 1
Pb2 Pb 0.0000 0.0000 0.7470 1
Tc1 Tc 0.5000 0.5000 0.0000 1
Ru1 Ru 0.5000 0.5000 0.5000 1